Version 1
VASP calculation (PBE-GGA) on a geometry-optimized Pm4TeSe3 structure.

Values from the calculation:
- Magnetic moment: 0.00 μB per formula unit
- DOS at the Fermi energy: 6.3 states/eV per cell

Cell lengths 4.219, 4.219, 28.512 Å; angles 90.00, 90.00, 120.00 degrees
Fractional positions:
1 Pm 0.000 0.000 0.177
2 Pm 0.333 0.667 0.437
3 Pm 0.000 0.000 0.677
4 Pm 0.000 0.000 0.823
5 Pm 0.667 0.333 0.937
6 Pm 0.333 0.667 0.063
7 Pm 0.000 0.000 0.323
8 Pm 0.667 0.333 0.563
9 Te 0.667 0.333 0.750
10 Te 0.333 0.667 0.250
11 Se 0.000 0.000 0.500
12 Se 0.667 0.333 0.380
13 Se 0.333 0.667 0.880
14 Se 0.000 0.000 0.000
15 Se 0.667 0.333 0.120
16 Se 0.333 0.667 0.620

Version 2
VASP calculation (PBE-GGA) on a geometry-optimized Pm4TeSe3 structure.

Values from the calculation:
- Magnetic moment: 0.00 μB per formula unit
- DOS at the Fermi energy: 5.5 states/eV per cell

Cell lengths 6.046, 6.046, 6.046 Å; angles 90.00, 90.00, 90.00 degrees
Fractional positions:
1 Pm 0.500 0.000 0.000
2 Pm 0.000 0.000 0.500
3 Pm 0.000 0.500 0.000
4 Pm 0.500 0.500 0.500
5 Se 0.000 0.500 0.500
6 Se 0.500 0.000 0.500
7 Se 0.500 0.500 0.000
8 Te 0.000 0.000 0.000

Most stable: version 1. Least stable: version 2.

Version 1
VASP calculation (PBE-GGA) on a geometry-optimized Pm3TeSe2 structure.

Values from the calculation:
- Magnetic moment: 0.00 μB per formula unit
- DOS at the Fermi energy: 6.3 states/eV per cell

Cell lengths 4.253, 4.253, 21.387 Å; angles 90.00, 90.00, 120.00 degrees
Fractional positions:
1 Pm 0.667 0.333 0.845
2 Pm 0.333 0.667 0.155
3 Pm 0.667 0.333 0.655
4 Pm 0.000 0.000 0.000
5 Pm 0.000 0.000 0.500
6 Pm 0.333 0.667 0.345
7 Te 0.000 0.000 0.250
8 Te 0.000 0.000 0.750
9 Se 0.667 0.333 0.078
10 Se 0.333 0.667 0.578
11 Se 0.333 0.667 0.922
12 Se 0.667 0.333 0.422

Version 2
VASP calculation (PBE-GGA) on a geometry-optimized Pm3TeSe2 structure.

Values from the calculation:
- Magnetic moment: 0.00 μB per formula unit
- DOS at the Fermi energy: 5.2 states/eV per cell

Cell lengths 7.441, 7.438, 7.438 Å; angles 120.45, 99.49, 99.49 degrees
Fractional positions:
1 Pm 0.993 0.130 0.318
2 Pm 0.493 0.318 0.130
3 Pm 0.507 0.682 0.870
4 Pm 0.000 0.500 0.000
5 Pm 0.500 0.000 0.500
6 Pm 0.007 0.870 0.682
7 Te 0.250 0.575 0.425
8 Te 0.750 0.425 0.575
9 Se 0.750 0.083 0.917
10 Se 0.750 0.741 0.259
11 Se 0.250 0.259 0.741
12 Se 0.250 0.917 0.083

Most stable: version 1. Least stable: version 2.

Version 1
VASP calculation (PBE-GGA) on a geometry-optimized PmThTeSe structure.

Values from the calculation:
- Magnetic moment: 0.00 μB per formula unit
- DOS at the Fermi energy: 4.1 states/eV per cell

Cell lengths 5.303, 5.303, 5.303 Å; angles 60.00, 60.00, 60.00 degrees
Fractional positions:
1 Te 0.750 0.750 0.750
2 Pm 0.500 0.500 0.500
3 Th 0.000 0.000 0.000
4 Se 0.250 0.250 0.250

Version 2
VASP calculation (PBE-GGA) on a geometry-optimized PmThTeSe structure.

Values from the calculation:
- Magnetic moment: 0.00 μB per formula unit
- DOS at the Fermi energy: 3.8 states/eV per cell

Cell lengths 4.142, 4.138, 8.150 Å; angles 89.99, 104.77, 119.96 degrees
Fractional positions:
1 Th 0.486 0.141 0.642
2 Se 0.306 0.551 0.872
3 Pm 0.119 0.958 0.093
4 Te 0.966 0.381 0.363

Most stable: version 2. Least stable: version 1.

Version 1
VASP calculation (PBE-GGA) on a geometry-optimized PmTh2Se5 structure.

Values from the calculation:
- Magnetic moment: 0.00 μB per formula unit
- DOS at the Fermi energy: 3.9 states/eV per cell

Cell lengths 4.121, 8.122, 12.862 Å; angles 90.00, 90.00, 90.00 degrees
Fractional positions:
1 Se 0.500 0.669 0.389
2 Se 0.500 0.331 0.611
3 Se 0.000 0.313 0.303
4 Se 0.000 0.687 0.697
5 Se 0.500 0.169 0.111
6 Se 0.000 0.500 0.000
7 Se 0.000 0.000 0.500
8 Se 0.000 0.813 0.197
9 Se 0.000 0.187 0.803
10 Se 0.500 0.831 0.889
11 Th 0.500 0.019 0.322
12 Th 0.500 0.981 0.678
13 Th 0.500 0.481 0.822
14 Th 0.500 0.519 0.178
15 Pm 0.000 0.500 0.500
16 Pm 0.000 0.000 0.000

Version 2
VASP calculation (PBE-GGA) on a geometry-optimized PmTh2Se5 structure.

Values from the calculation:
- Magnetic moment: 0.00 μB per formula unit
- DOS at the Fermi energy: 6.4 states/eV per cell

Cell lengths 5.828, 7.294, 14.185 Å; angles 90.00, 90.00, 113.55 degrees
Fractional positions:
1 Pm 0.218 0.436 0.250
2 Pm 0.782 0.564 0.750
3 Th 0.848 0.695 0.056
4 Th 0.152 0.305 0.944
5 Th 0.152 0.305 0.556
6 Th 0.848 0.695 0.444
7 Se 0.665 0.330 0.568
8 Se 0.239 0.479 0.750
9 Se 0.050 0.100 0.378
10 Se 0.665 0.330 0.932
11 Se 0.335 0.670 0.068
12 Se 0.050 0.100 0.122
13 Se 0.950 0.900 0.878
14 Se 0.950 0.900 0.622
15 Se 0.335 0.670 0.432
16 Se 0.761 0.521 0.250

Most stable: version 1. Least stable: version 2.

Version 1
VASP calculation (PBE-GGA) on a geometry-optimized Pm2ThSe3 structure.

Values from the calculation:
- Magnetic moment: 0.00 μB per formula unit
- DOS at the Fermi energy: 4.4 states/eV per cell

Cell lengths 4.197, 5.943, 7.271 Å; angles 114.12, 106.77, 90.00 degrees
Fractional positions:
1 Se 0.833 0.333 0.166
2 Se 0.500 0.000 0.500
3 Se 0.167 0.667 0.834
4 Pm 0.832 0.832 0.164
5 Pm 0.168 0.168 0.836
6 Th 0.500 0.500 0.500

Version 2
VASP calculation (PBE-GGA) on a geometry-optimized Pm2ThSe3 structure.

Values from the calculation:
- Magnetic moment: 0.00 μB per formula unit
- DOS at the Fermi energy: 7.6 states/eV per cell

Cell lengths 4.113, 4.113, 21.492 Å; angles 90.00, 90.00, 120.00 degrees
Fractional positions:
1 Pm 0.333 0.667 0.582
2 Pm 0.333 0.667 0.918
3 Pm 0.667 0.333 0.082
4 Pm 0.667 0.333 0.418
5 Se 0.667 0.333 0.836
6 Se 0.000 0.000 0.500
7 Se 0.333 0.667 0.336
8 Se 0.667 0.333 0.664
9 Se 0.333 0.667 0.164
10 Se 0.000 0.000 0.000
11 Th 0.000 0.000 0.250
12 Th 0.000 0.000 0.750

Most stable: version 1. Least stable: version 2.

Version 1
VASP calculation (PBE-GGA) on a geometry-optimized PmThSe3 structure.

Values from the calculation:
- Magnetic moment: 0.00 μB per formula unit
- DOS at the Fermi energy: 10.5 states/eV per cell

Cell lengths 4.125, 8.002, 16.205 Å; angles 90.00, 90.00, 90.00 degrees
Fractional positions:
1 Pm 0.250 0.087 0.210
2 Pm 0.250 0.587 0.290
3 Pm 0.750 0.913 0.790
4 Pm 0.750 0.413 0.710
5 Se 0.750 0.490 0.899
6 Se 0.750 0.124 0.075
7 Se 0.250 0.010 0.399
8 Se 0.250 0.510 0.101
9 Se 0.750 0.624 0.425
10 Se 0.250 0.682 0.722
11 Se 0.250 0.876 0.925
12 Se 0.750 0.318 0.278
13 Se 0.750 0.818 0.222
14 Se 0.750 0.990 0.601
15 Se 0.250 0.182 0.778
16 Se 0.250 0.376 0.575
17 Th 0.250 0.752 0.541
18 Th 0.750 0.248 0.459
19 Th 0.750 0.748 0.041
20 Th 0.250 0.252 0.959

Version 2
VASP calculation (PBE-GGA) on a geometry-optimized PmThSe3 structure.

Values from the calculation:
- Magnetic moment: 0.45 μB per formula unit
- DOS at the Fermi energy: 6.2 states/eV per cell

Cell lengths 4.286, 7.401, 10.775 Å; angles 90.00, 101.47, 90.00 degrees
Each line ends with the local moment (μB).
Fractional positions:
1 Se 0.250 0.159 0.499  0.00
2 Se 0.909 0.322 0.817  0.00
3 Se 0.592 0.329 0.184  0.00
4 Se 0.408 0.829 0.816  0.00
5 Se 0.750 0.659 0.501  0.00
6 Se 0.091 0.822 0.183  0.00
7 Th 0.161 0.495 0.323  0.14
8 Th 0.839 0.995 0.677  0.14
9 Pm 0.661 0.990 0.322  0.08
10 Pm 0.339 0.490 0.678  0.08

Most stable: version 1. Least stable: version 2.

Version 1
VASP calculation (PBE-GGA) on a geometry-optimized PmTh2Se4 structure.

Values from the calculation:
- Magnetic moment: 0.00 μB per formula unit
- DOS at the Fermi energy: 9.7 states/eV per cell

Cell lengths 4.015, 7.093, 14.518 Å; angles 90.00, 90.00, 106.44 degrees
Fractional positions:
1 Se 0.788 0.575 0.131
2 Se 0.500 0.000 0.500
3 Se 0.212 0.425 0.869
4 Se 0.788 0.575 0.369
5 Se 0.212 0.425 0.631
6 Se 0.953 0.906 0.750
7 Se 0.500 0.000 0.000
8 Se 0.047 0.094 0.250
9 Th 0.857 0.714 0.935
10 Th 0.143 0.286 0.065
11 Th 0.143 0.286 0.435
12 Th 0.857 0.714 0.565
13 Pm 0.385 0.771 0.250
14 Pm 0.615 0.229 0.750

Version 2
VASP calculation (PBE-GGA) on a geometry-optimized PmTh2Se4 structure.

Values from the calculation:
- Magnetic moment: 0.00 μB per formula unit
- DOS at the Fermi energy: 12.7 states/eV per cell

Cell lengths 7.683, 7.683, 7.683 Å; angles 109.71, 109.00, 109.71 degrees
Fractional positions:
1 Se 0.625 0.749 0.528
2 Se 0.780 0.251 0.876
3 Se 0.124 0.904 0.375
4 Se 0.970 0.596 0.722
5 Se 0.626 0.751 0.030
6 Se 0.125 0.404 0.374
7 Se 0.278 0.249 0.875
8 Se 0.472 0.096 0.220
9 Th 0.499 0.374 0.625
10 Th 0.375 0.874 0.749
11 Th 0.251 0.626 0.125
12 Th 0.875 0.126 0.501
13 Pm 0.000 0.000 0.000
14 Pm 0.750 0.500 0.250

Most stable: version 2. Least stable: version 1.